! PBE AuF, relaxed; values from VASP
! V ... 199.9 Å³ per cell
! Formation energy from raw total energies ... -0.571 eV per atom
! Magnetic moment ... 0.00 μB per cell
&SYSTEM
  ibrav = 0, nat = 12, ntyp = 2
/
ATOMIC_SPECIES
Au 196.97 Au.upf
F 19.00 F.upf
CELL_PARAMETERS angstrom
3.048 0.000 0.000
0.000 6.562 0.000
0.000 0.000 9.997
ATOMIC_POSITIONS angstrom
Au 0.000 4.295 8.298
Au 1.524 2.266 6.697
Au 1.524 2.266 3.300
Au 0.000 4.295 1.699
Au 0.000 0.503 4.999
Au 1.524 6.058 0.000
F 0.000 5.450 6.636
F 1.524 1.112 8.360
F 1.524 1.112 1.638
F 0.000 5.450 3.361
F 0.000 3.063 0.000
F 1.524 3.499 4.999


! PBE AuF, relaxed; values from VASP
! V ... 166.9 Å³ per cell
! Formation energy from raw total energies ... -0.104 eV per atom
! Magnetic moment ... 0.00 μB per cell
&SYSTEM
  ibrav = 0, nat = 8, ntyp = 2
/
ATOMIC_SPECIES
Au 196.97 Au.upf
F 19.00 F.upf
CELL_PARAMETERS angstrom
-3.287 3.826 -2.205
-0.266 -2.916 -4.662
-4.408 -2.677 1.926
ATOMIC_POSITIONS angstrom
Au 0.000 0.000 0.000
Au -2.337 -2.797 -1.368
Au -3.848 0.574 -0.140
Au -1.777 0.455 -3.434
F -1.990 -0.442 -1.235
F -4.327 -3.238 -2.603
F -5.838 0.132 -1.375
F -3.767 0.013 -4.669


! PBE Au2F5, relaxed; values from VASP
! V ... 221.3 Å³ per cell
! Formation energy from raw total energies ... -0.879 eV per atom
! Magnetic moment ... 0.00 μB per cell
&SYSTEM
  ibrav = 0, nat = 14, ntyp = 2
/
ATOMIC_SPECIES
Au 196.97 Au.upf
F 19.00 F.upf
CELL_PARAMETERS angstrom
-1.175 2.318 -4.890
-6.327 -1.863 0.636
3.105 5.159 4.836
ATOMIC_POSITIONS angstrom
Au -0.933 2.870 3.347
Au 0.360 2.373 -0.334
Au -3.464 2.744 -2.765
Au -4.756 3.241 0.917
F -1.561 0.977 0.366
F 0.151 5.918 -0.838
F -3.393 2.310 2.123
F -4.087 2.216 -0.890
F -1.004 3.305 -1.540
F -0.309 3.399 1.473
F -4.548 -0.304 1.420
F -2.836 4.637 0.216
F -2.318 0.987 -2.904
F -5.184 -0.532 -1.349


! PBE AuF4, relaxed; values from VASP
! V ... 72.5 Å³ per cell
! Formation energy from raw total energies ... -0.531 eV per atom
! Magnetic moment ... 0.93 μB per cell
&SYSTEM
  ibrav = 0, nat = 5, ntyp = 2
/
ATOMIC_SPECIES
Au 196.97 Au.upf
F 19.00 F.upf
CELL_PARAMETERS angstrom
-3.665 1.535 -1.262
-1.659 -0.905 3.717
1.095 3.769 1.406
ATOMIC_POSITIONS angstrom
Au -2.115 2.200 1.930
F 0.000 0.000 0.000
F -1.285 2.652 0.072
F -0.282 1.432 2.562
F -2.662 0.315 1.227


Which of these has the highest V? Au2F5


What is the formation energy from raw total energies in the fourth record? -0.531 eV per atom


Which of these has the highest magnetic moment? AuF4


What did the first record say?
! PBE AuF, relaxed; values from VASP
! V ... 199.9 Å³ per cell
! Formation energy from raw total energies ... -0.571 eV per atom
! Magnetic moment ... 0.00 μB per cell
&SYSTEM
  ibrav = 0, nat = 12, ntyp = 2
/
ATOMIC_SPECIES
Au 196.97 Au.upf
F 19.00 F.upf
CELL_PARAMETERS angstrom
3.048 0.000 0.000
0.000 6.562 0.000
0.000 0.000 9.997
ATOMIC_POSITIONS angstrom
Au 0.000 4.295 8.298
Au 1.524 2.266 6.697
Au 1.524 2.266 3.300
Au 0.000 4.295 1.699
Au 0.000 0.503 4.999
Au 1.524 6.058 0.000
F 0.000 5.450 6.636
F 1.524 1.112 8.360
F 1.524 1.112 1.638
F 0.000 5.450 3.361
F 0.000 3.063 0.000
F 1.524 3.499 4.999